[1]
DFT (PBEsol) results for an optimized crystal structure of AlTcNiCl2.

Cell lengths 4.492, 4.492, 4.892 Å; angles 90.00, 90.00, 90.00 degrees
Each line ends with the local moment (μB).
Fractional positions:
Tc: 0.500 0.500 0.500  3.62
Al: 0.000 0.000 0.000  0.00
Cl: 0.000 0.500 0.000  0.05
Cl: 0.500 0.000 0.000  0.05
Ni: 0.000 0.000 0.500  0.24

total energy: -0.152 Ha/atom
raw formation energy: 0.969 eV/atom
total magnetic moment: 4.39 μB/cell

[2]
DFT (PBEsol) results for an optimized crystal structure of LuNbO4.

Cell lengths 5.035, 5.215, 5.290 Å; angles 90.00, 90.00, 95.09 degrees
Fractional positions:
Lu: 0.500 0.250 0.242
Lu: 0.500 0.750 0.758
Nb: 0.000 0.750 0.287
Nb: 0.000 0.250 0.713
O: 0.748 0.584 0.065
O: 0.252 0.416 0.935
O: 0.252 0.916 0.065
O: 0.244 0.023 0.554
O: 0.756 0.977 0.446
O: 0.244 0.523 0.446
O: 0.748 0.084 0.935
O: 0.756 0.477 0.554

total energy: -0.341 Ha/atom
raw formation energy: -3.153 eV/atom
total magnetic moment: 0.00 μB/cell

[3]
DFT (PBEsol) results for an optimized crystal structure of YTc2Pb.

Cell lengths 4.122, 4.122, 5.259 Å; angles 113.07, 113.07, 90.00 degrees
Each line ends with the local moment (μB).
Fractional positions:
Pb: 0.250 0.750 0.500  -0.01
Tc: 0.750 0.250 0.500  0.34
Tc: 0.000 0.000 0.000  0.30
Y: 0.500 0.500 0.000  0.01

total energy: -0.292 Ha/atom
energy of formation from the pure elements: 0.405 eV per atom
total magnetic moment: 0.69 μB/cell

[4]
DFT (PBEsol) results for an optimized crystal structure of TaNiP.

Cell lengths 2.797, 2.797, 6.013 Å; angles 90.00, 90.00, 120.00 degrees
Fractional positions:
Ta: 0.333 0.667 0.336
Ni: 0.000 0.000 0.971
P: 0.667 0.333 0.693

total energy: -0.304 Ha/atom
energy of formation from the pure elements: -0.110 eV per atom
total magnetic moment: 0.00 μB/cell

Repeat the first record exactly.
DFT (PBEsol) results for an optimized crystal structure of AlTcNiCl2.

Cell lengths 4.492, 4.492, 4.892 Å; angles 90.00, 90.00, 90.00 degrees
Each line ends with the local moment (μB).
Fractional positions:
Tc: 0.500 0.500 0.500  3.62
Al: 0.000 0.000 0.000  0.00
Cl: 0.000 0.500 0.000  0.05
Cl: 0.500 0.000 0.000  0.05
Ni: 0.000 0.000 0.500  0.24

total energy: -0.152 Ha/atom
raw formation energy: 0.969 eV/atom
total magnetic moment: 4.39 μB/cell

Which value of total energy does entry 2 give? -0.341 Ha/atom

Number 1 is which compound? AlTcNiCl2

Which value of total energy does entry 4 give? -0.304 Ha/atom